Below is crystalline Cs2LaAsI6 at its relaxed geometry, with properties calculated at the PBE level.

abc: 8.4946 8.4946 9.3807
angles: 63.08 63.08 90.00
Last column: nearest neighbours and their distance in Å.
Sites, in units of the cell vectors:
I  0.7385  0.2615  0.0000  1 As 2.87, 1 La 3.14
I  0.2615  0.7385  0.0000  1 As 2.87, 1 La 3.14
I  0.7806  0.7806  0.4387  1 La 3.16
I  0.2615  0.2615  0.0000  1 As 2.87, 1 La 3.14
I  0.7385  0.7385  0.0000  1 As 2.87, 1 La 3.14
I  0.2194  0.2194  0.5613  1 La 3.16
Cs  0.2500  0.7500  0.5000  12 I 4.27-4.69
Cs  0.7500  0.2500  0.5000  12 I 4.27-4.69
As  0.5000  0.5000  0.0000  4 I 2.87
La  0.0000  0.0000  0.0000  6 I 3.14-3.16

Summary:
The calculation puts the total magnetic moment at 0.0 μB/f.u. The density of states at the Fermi level is 0.000 states/eV/cell. The calculation puts the uncorrected formation energy at -1.057 eV per atom.